Compound: S
Source: the Alexandria database
Functional: SCAN
Structure: single point on PBEsol structure

Structure (extended XYZ):
```
32
Lattice="8.197 -0.183 0.000 -3.125 7.874 0.000 0.000 0.000 13.089" Properties=species:S:1:pos:R:3 pbc="T T T"
S 0.547 5.269 4.509
S -1.136 6.450 4.509
S 4.525 2.422 8.580
S 6.208 1.241 8.580
S 1.797 5.083 7.585
S -2.386 6.637 7.585
S 3.275 2.609 5.503
S 7.457 1.054 5.503
S 1.926 6.079 5.797
S 5.682 5.458 5.797
S 3.146 1.613 7.291
S -0.610 2.233 7.291
S 0.673 6.201 8.897
S -1.262 5.519 8.897
S 4.399 1.491 4.192
S 6.334 2.172 4.192
S 1.368 0.900 10.241
S 1.168 2.945 10.241
S 3.704 6.791 2.847
S 3.904 4.746 2.847
S -0.999 7.736 0.229
S 0.410 3.984 0.229
S 6.071 -0.045 12.860
S 4.662 3.708 12.860
S 2.917 0.434 11.509
S -0.381 3.412 11.509
S 2.155 7.258 1.580
S 5.453 4.279 1.580
S 2.186 1.461 1.517
S 0.350 2.385 1.517
S 2.886 6.231 11.572
S 4.722 5.307 11.572
```

Energy relative to the lowest polymorph listed for this composition   0.00 eV/f.u.
DOS at the Fermi energy   0.0 states/eV per cell
SG   P2/c (13)
Formation energy from raw total energies   0.00 eV per atom



Compound: S
Source: the Alexandria database
Functional: SCAN
Structure: single point on PBEsol structure

Structure (extended XYZ):
```
72
Lattice="8.016 0.000 -0.006 0.000 13.771 0.000 -3.897 0.000 16.277" Properties=species:S:1:pos:R:3 pbc="T T T"
S 1.757 13.568 5.758
S 3.737 7.134 10.199
S 0.372 3.300 5.628
S 2.362 0.203 10.513
S -0.830 9.445 10.402
S 5.695 10.185 2.504
S 2.999 2.559 14.007
S 2.620 1.665 9.116
S -0.473 7.370 2.156
S 3.747 10.471 10.643
S -0.158 10.072 5.241
S 3.228 7.939 14.280
S -0.255 2.757 1.617
S -1.058 1.053 10.130
S 0.596 4.800 6.994
S 5.471 11.685 1.138
S 1.119 11.211 2.263
S 0.235 4.489 0.583
S 6.070 6.835 3.475
S 6.225 3.187 2.892
S -1.951 6.935 12.796
S 0.172 3.704 12.646
S 1.498 12.106 7.155
S 1.687 4.149 13.955
S -1.714 2.396 8.722
S 4.279 5.695 7.252
S 1.998 10.590 11.763
S -1.352 2.086 15.132
S -0.451 8.550 15.294
S 4.121 0.050 11.613
S 3.884 9.282 15.687
S 5.177 12.717 6.141
S 4.591 6.400 14.115
S 4.310 6.682 2.375
S 2.111 6.838 4.972
S 3.636 2.737 5.817
S -0.335 10.416 14.413
S -0.161 8.075 9.019
S -2.107 10.583 13.379
S 6.540 0.485 5.977
S 1.614 10.240 6.275
S 0.163 0.048 13.111
S 0.482 11.034 10.454
S 3.681 7.362 6.172
S -2.422 13.286 10.294
S 2.007 6.933 11.298
S 2.386 0.477 1.960
S 4.569 5.220 0.977
S 2.331 1.190 15.390
S 2.431 9.622 2.315
S 3.956 13.723 3.160
S 3.946 10.066 3.625
S -2.204 4.129 9.755
S 1.788 12.581 0.881
S -0.192 7.088 13.896
S 4.276 3.698 11.030
S -1.568 0.249 14.210
S 0.437 6.408 10.099
S -1.577 3.585 13.766
S 4.948 4.326 5.869
S 4.374 11.014 14.654
S 0.890 5.832 1.991
S -0.003 13.721 4.658
S 1.732 13.294 14.311
S 4.453 3.354 1.857
S 0.381 6.637 6.072
S 5.832 11.374 7.549
S 3.522 8.971 9.277
S 6.322 9.642 6.515
S 2.121 3.181 4.507
S 5.686 13.522 2.061
S 2.504 3.531 9.996
```

Energy relative to the lowest polymorph listed for this composition   0.03 eV/f.u.
DOS at the Fermi energy   0.0 states/eV per cell
SG   P2_1/c (14)
Formation energy from raw total energies   0.03 eV per atom



Compound: SbS
Source: the Alexandria database
Functional: SCAN
Structure: single point on PBEsol structure

Structure (extended XYZ):
```
4
Lattice="3.842 -0.034 -0.113 0.010 4.500 -0.995 0.166 -0.325 5.629" Properties=species:S:1:pos:R:3 pbc="T T T"
Sb 1.023 3.279 1.054
Sb 2.995 0.863 3.467
S 2.926 1.285 0.986
S 1.092 2.857 3.535
```

DOS at the Fermi energy   1.1 states/eV per cell
SG   P2_1/m (11)
Formation energy from raw total energies   -0.03 eV per atom



Compound: ScZn2SbS
Source: the Alexandria database
Functional: SCAN
Structure: single point on PBEsol structure

Structure (extended XYZ):
```
5
Lattice="5.081 0.000 0.000 0.000 5.081 0.000 0.000 0.000 5.413" Properties=species:S:1:pos:R:3 pbc="T T T"
Sc 0.000 0.000 0.000
Sb 0.000 0.000 2.706
Zn 0.000 2.541 0.000
Zn 2.541 0.000 0.000
S 2.541 2.541 2.706
```

DOS at the Fermi energy   2.9 states/eV per cell
SG   P4/mmm (123)
Formation energy from raw total energies   0.81 eV per atom



Compound: SbSeS3
Source: the Alexandria database
Functional: SCAN
Structure: single point on PBEsol structure

Structure (extended XYZ):
```
5
Lattice="-2.906 -0.048 -3.706 -0.210 -4.700 0.226 -3.701 0.305 2.897" Properties=species:S:1:pos:R:3 pbc="T T T"
Sb -3.408 -2.222 -0.291
S -0.105 -2.350 0.113
S -1.850 0.152 1.449
S -1.453 -0.024 -1.853
Se 0.000 0.000 0.000
```

DOS at the Fermi energy   3.0 states/eV per cell
SG   Pm-3m (221)
Formation energy from raw total energies   0.57 eV per atom



Compound: Sb4Se3S3
Source: the Alexandria database
Functional: SCAN
Structure: single point on PBEsol structure

Structure (extended XYZ):
```
20
Lattice="3.905 0.000 0.000 0.000 11.107 0.000 0.000 0.000 11.388" Properties=species:S:1:pos:R:3 pbc="T T T"
Sb 1.953 2.321 7.464
Sb 1.953 8.786 1.770
Sb 0.000 3.220 3.909
Sb 0.000 7.887 9.603
Sb 0.000 10.238 6.001
Sb 0.000 0.869 0.307
Sb 1.953 6.542 5.455
Sb 1.953 4.565 11.149
Se 1.953 5.050 3.182
Se 1.953 6.057 8.876
Se 0.000 4.250 6.333
Se 0.000 6.858 0.639
Se 1.953 1.287 5.046
Se 1.953 9.820 10.740
S 1.953 8.970 7.142
S 1.953 2.137 1.448
S 0.000 7.779 4.305
S 0.000 3.329 9.999
S 0.000 0.607 8.104
S 0.000 10.500 2.410
```

SG   Pmc2_1 (26)
Formation energy from raw total energies   -0.23 eV per atom